Entry 1:
Y3Mg3Tl2Cu: optimized geometry, PBE.

Results
* theoretical density: 6.16 g cm⁻³
* final energy: -3.926 eV per atom

The structure in CIF format:
```
data_Y3Mg3Tl2Cu
_space_group_name_H-M_alt 'P -6 2 m'
_space_group_IT_number 189
_space_group_name_Hall 'P -6 -2'
_cell_length_a 7.5783
_cell_length_b 7.5783
_cell_length_c 4.4027
_cell_angle_alpha 90.00
_cell_angle_beta 90.00
_cell_angle_gamma 120.00
loop_
_atom_site_label
_atom_site_type_symbol
_atom_site_fract_x
_atom_site_fract_y
_atom_site_fract_z
Y1 Y 0.0000 0.5945 0.0000
Mg1 Mg 0.0000 0.2330 0.5000
Tl1 Tl 0.3333 0.6667 0.5000
Cu1 Cu 0.0000 0.0000 0.0000
```

***

Entry 2:
Mg4Nb3: optimized geometry, PBE.

Results
* theoretical density: 4.40 g cm⁻³
* relative energy among the computed polymorphs: 0.0 kJ/mol of atoms

The structure in CIF format:
```
data_Mg4Nb3
_space_group_name_H-M_alt 'P 63/m'
_space_group_IT_number 176
_space_group_name_Hall '-P 6c'
_cell_length_a 8.1785
_cell_length_b 8.1785
_cell_length_c 4.9018
_cell_angle_alpha 90.00
_cell_angle_beta 90.00
_cell_angle_gamma 120.00
loop_
_atom_site_label
_atom_site_type_symbol
_atom_site_fract_x
_atom_site_fract_y
_atom_site_fract_z
Mg1 Mg 0.0876 0.6207 0.2500
Mg2 Mg 0.3333 0.6667 0.7500
Nb1 Nb 0.0406 0.8270 0.7500
```

***

Entry 3:
TbBeCo: optimized geometry, PBE.

Results
* theoretical density: 7.08 g cm⁻³
* relative energy among the computed polymorphs: 0.0 kJ/mol of atoms

The structure in CIF format:
```
data_TbBeCo
_space_group_name_H-M_alt 'F -4 3 m'
_space_group_IT_number 216
_space_group_name_Hall 'F -4 2 3'
_cell_length_a 5.970
_cell_length_b 5.970
_cell_length_c 5.970
_cell_angle_alpha 90.00
_cell_angle_beta 90.00
_cell_angle_gamma 90.00
loop_
_atom_site_label
_atom_site_type_symbol
_atom_site_fract_x
_atom_site_fract_y
_atom_site_fract_z
Tb1 Tb 0.000 0.000 0.000
Be1 Be 0.000 0.000 0.500
Co1 Co 0.250 0.250 0.750
```

***

Entry 4:
TbCoSi3: optimized geometry, PBE.

Results
* theoretical density: 6.37 g cm⁻³
* final energy: -6.274 eV per atom

The structure in CIF format:
```
data_TbCoSi3
_space_group_name_H-M_alt 'I 4 m m'
_space_group_IT_number 107
_space_group_name_Hall 'I 4 -2'
_cell_length_a 4.067
_cell_length_b 4.067
_cell_length_c 9.525
_cell_angle_alpha 90.00
_cell_angle_beta 90.00
_cell_angle_gamma 90.00
loop_
_atom_site_label
_atom_site_type_symbol
_atom_site_fract_x
_atom_site_fract_y
_atom_site_fract_z
Tb1 Tb 0.000 0.000 0.000
Co1 Co 0.000 0.000 0.657
Si1 Si 0.000 0.000 0.424
Si2 Si 0.000 0.500 0.259
```

***

Entry 5:
KNdO3: optimized geometry, PBE.

Results
* theoretical density: 4.08 g cm⁻³
* final energy: -5.867 eV per atom

The structure in CIF format:
```
data_KNdO3
_space_group_name_H-M_alt 'R -3'
_space_group_IT_number 148
_space_group_name_Hall '-R 3'
_cell_length_a 6.5450
_cell_length_b 6.5450
_cell_length_c 15.2320
_cell_angle_alpha 90.00
_cell_angle_beta 90.00
_cell_angle_gamma 120.00
loop_
_atom_site_label
_atom_site_type_symbol
_atom_site_fract_x
_atom_site_fract_y
_atom_site_fract_z
K1 K 0.0000 0.0000 0.1213
Nd1 Nd 0.0000 0.0000 0.3546
O1 O 0.0299 0.6082 0.9254
```

***

Entry 6:
NdYMo: optimized geometry, PBE.

Results
* theoretical density: 6.46 g cm⁻³
* ΔH_f (0 K): 1.30 eV per atom

The structure in CIF format:
```
data_NdYMo
_space_group_name_H-M_alt 'F -4 3 m'
_space_group_IT_number 216
_space_group_name_Hall 'F -4 2 3'
_cell_length_a 6.967
_cell_length_b 6.967
_cell_length_c 6.967
_cell_angle_alpha 90.00
_cell_angle_beta 90.00
_cell_angle_gamma 90.00
loop_
_atom_site_label
_atom_site_type_symbol
_atom_site_fract_x
_atom_site_fract_y
_atom_site_fract_z
Nd1 Nd 0.000 0.000 0.000
Y1 Y 0.250 0.250 0.250
Mo1 Mo 0.250 0.250 0.750
```

***

Entry 7:
Si2NiIr: optimized geometry, PBE.

Results
* theoretical density: 9.64 g cm⁻³
* final energy: -6.904 eV per atom

The structure in CIF format:
```
data_Si2NiIr
_space_group_name_H-M_alt 'P m c 21'
_space_group_IT_number 26
_space_group_name_Hall 'P 2c -2'
_cell_length_a 3.501
_cell_length_b 5.653
_cell_length_c 5.347
_cell_angle_alpha 90.00
_cell_angle_beta 90.00
_cell_angle_gamma 90.00
loop_
_atom_site_label
_atom_site_type_symbol
_atom_site_fract_x
_atom_site_fract_y
_atom_site_fract_z
Si1 Si 0.000 0.153 0.000
Si2 Si 0.500 0.322 0.352
Ni1 Ni 0.500 0.056 0.682
Ir1 Ir 0.000 0.438 0.669
```

***

Entry 8:
Tl4P2PdS8: optimized geometry, PBE.

Results
* theoretical density: 5.07 g cm⁻³
* final energy: -4.312 eV per atom

The structure in CIF format:
```
data_Tl4P2PdS8
_space_group_name_H-M_alt 'P -1'
_space_group_IT_number 2
_space_group_name_Hall '-P 1'
_cell_length_a 6.460
_cell_length_b 6.929
_cell_length_c 9.178
_cell_angle_alpha 87.72
_cell_angle_beta 83.16
_cell_angle_gamma 86.11
loop_
_atom_site_label
_atom_site_type_symbol
_atom_site_fract_x
_atom_site_fract_y
_atom_site_fract_z
Tl1 Tl 0.241 0.219 0.464
Tl2 Tl 0.248 0.653 0.870
P1 P 0.330 0.735 0.261
Pd1 Pd 0.500 0.000 0.000
S1 S 0.182 0.967 0.153
S2 S 0.265 0.732 0.482
S3 S 0.269 0.478 0.178
S4 S 0.363 0.196 0.812
```

***

Entry 9:
HoEr2Ni4Sn4: optimized geometry, PBE.

Results
* theoretical density: 9.34 g cm⁻³
* final energy: -5.282 eV per atom

The structure in CIF format:
```
data_HoEr2Ni4Sn4
_space_group_name_H-M_alt 'I m m m'
_space_group_IT_number 71
_space_group_name_Hall '-I 2 2'
_cell_length_a 4.344
_cell_length_b 7.000
_cell_length_c 14.144
_cell_angle_alpha 90.00
_cell_angle_beta 90.00
_cell_angle_gamma 90.00
loop_
_atom_site_label
_atom_site_type_symbol
_atom_site_fract_x
_atom_site_fract_y
_atom_site_fract_z
Ho1 Ho 0.000 0.000 0.000
Er1 Er 0.000 0.500 0.131
Ni1 Ni 0.000 0.307 0.322
Sn1 Sn 0.000 0.000 0.216
Sn2 Sn 0.000 0.204 0.500
```

***

Entry 10:
SmInAs: optimized geometry, PBE.

Results
* theoretical density: 6.40 g cm⁻³
* final energy: -4.304 eV per atom

The structure in CIF format:
```
data_SmInAs
_space_group_name_H-M_alt 'F -4 3 m'
_space_group_IT_number 216
_space_group_name_Hall 'F -4 2 3'
_cell_length_a 7.066
_cell_length_b 7.066
_cell_length_c 7.066
_cell_angle_alpha 90.00
_cell_angle_beta 90.00
_cell_angle_gamma 90.00
loop_
_atom_site_label
_atom_site_type_symbol
_atom_site_fract_x
_atom_site_fract_y
_atom_site_fract_z
Sm1 Sm 0.000 0.000 0.000
In1 In 0.250 0.250 0.250
As1 As 0.250 0.250 0.750
```

***

Entry 11:
HfSnNO: optimized geometry, PBE.

Results
* theoretical density: 8.00 g cm⁻³
* relative energy among the computed polymorphs: 48.7 kJ/mol of atoms

The structure in CIF format:
```
data_HfSnNO
_space_group_name_H-M_alt 'P 4/n m m'
_space_group_IT_number 129
_cell_length_a 4.350
_cell_length_b 4.350
_cell_length_c 7.178
_cell_angle_alpha 90.00
_cell_angle_beta 90.00
_cell_angle_gamma 90.00
loop_
_space_group_symop_operation_xyz
'x,y,z'
'-x,-y,-z'
'-y+1/2,x,z'
'y+1/2,-x,-z'
'-x+1/2,-y+1/2,z'
'x+1/2,y+1/2,-z'
'y,-x+1/2,z'
'-y,x+1/2,-z'
'x+1/2,-y,-z'
'-x+1/2,y,z'
'-y,-x,-z'
'y,x,z'
'-x,y+1/2,-z'
'x,-y+1/2,z'
'y+1/2,x+1/2,-z'
'-y+1/2,-x+1/2,z'
loop_
_atom_site_label
_atom_site_type_symbol
_atom_site_fract_x
_atom_site_fract_y
_atom_site_fract_z
Hf1 Hf 0.250 0.250 0.055
Sn1 Sn 0.250 0.750 0.500
N1 N 0.250 0.250 0.323
O1 O 0.250 0.750 0.000
```

***

Entry 12:
AcTaAsO: optimized geometry, PBE.

Results
* theoretical density: 10.01 g cm⁻³
* relative energy among the computed polymorphs: 0.0 kJ/mol of atoms

The structure in CIF format:
```
data_AcTaAsO
_space_group_name_H-M_alt 'P 4/n m m'
_space_group_IT_number 129
_cell_length_a 4.109
_cell_length_b 4.109
_cell_length_c 9.805
_cell_angle_alpha 90.00
_cell_angle_beta 90.00
_cell_angle_gamma 90.00
loop_
_space_group_symop_operation_xyz
'x,y,z'
'-x,-y,-z'
'-y+1/2,x,z'
'y+1/2,-x,-z'
'-x+1/2,-y+1/2,z'
'x+1/2,y+1/2,-z'
'y,-x+1/2,z'
'-y,x+1/2,-z'
'x+1/2,-y,-z'
'-x+1/2,y,z'
'-y,-x,-z'
'y,x,z'
'-x,y+1/2,-z'
'x,-y+1/2,z'
'y+1/2,x+1/2,-z'
'-y+1/2,-x+1/2,z'
loop_
_atom_site_label
_atom_site_type_symbol
_atom_site_fract_x
_atom_site_fract_y
_atom_site_fract_z
Ac1 Ac 0.250 0.250 0.135
Ta1 Ta 0.250 0.750 0.500
As1 As 0.250 0.250 0.677
O1 O 0.250 0.750 0.000
```